VASP calculation (GGA-PBE) on a relaxed structure of Rb3Ac2ThO6.

a = 6.6999 Å, b = 11.6242 Å, c = 7.2837 Å
α = 90.00°, β = 107.49°, γ = 90.00°
Space group C2/m (No. 12)
Symmetry-distinct sites (fractional):
Rb 0.0000 0.0000 0.0000 [2 per cell]
Rb 0.0000 0.3388 0.0000 [4 per cell]
Ac 0.0000 0.1668 0.5000 [4 per cell]
Th 0.0000 0.5000 0.5000 [2 per cell]
O 0.2082 0.3449 0.6603 [8 per cell]
O 0.2430 0.0000 0.6638 [4 per cell]

Computed properties:
DFT total energy (eV for the cell shown): -157.5